(1)
# NdErTe, optimized geometry, DFT PBE-GGA
# * ΔE_f (raw): -548 meV per atom
# * D(E_F): 1.264 states/eV per atom
# * electronic total energy: -56.5 eV per cell
# * E above lowest polymorph: 225 meV/atom
data_NdErTe
_cell_length_a 7.307
_cell_length_b 7.279
_cell_length_c 7.142
_cell_angle_alpha 90.00
_cell_angle_beta 90.15
_cell_angle_gamma 90.00
_symmetry_space_group_name_H-M 'C 1 2/m 1'
_symmetry_Int_Tables_number 12
_symmetry_space_group_name_Hall '-C 2y'
loop_
_atom_site_label
_atom_site_fract_x
_atom_site_fract_y
_atom_site_fract_z
_atom_site_occupancy
Nd1 0.000 0.250 0.000 1
Er1 0.000 0.250 0.500 1
Te1 0.250 0.000 0.274 1


(2)
# NdErTe2, optimized geometry, DFT PBE-GGA
# * ΔE_f (raw): -1355 meV per atom
# * D(E_F): 0.318 states/eV per atom
# * electronic total energy: -63.1 eV per cell
# * E above lowest polymorph: 0 meV/atom
data_NdErTe2
_cell_length_a 4.2827
_cell_length_b 4.2827
_cell_length_c 22.9843
_cell_angle_alpha 90.00
_cell_angle_beta 90.00
_cell_angle_gamma 120.00
_symmetry_space_group_name_H-M 'R 3 m'
_symmetry_Int_Tables_number 160
_symmetry_space_group_name_Hall 'R 3 -2"'
loop_
_atom_site_label
_atom_site_fract_x
_atom_site_fract_y
_atom_site_fract_z
_atom_site_occupancy
Nd1 0.0000 0.0000 0.0000 1
Er1 0.0000 0.0000 0.8260 1
Te1 0.0000 0.0000 0.2415 1
Te2 0.0000 0.0000 0.4184 1


(3)
# NdErTe2, optimized geometry, DFT PBE-GGA
# * ΔE_f (raw): -1192 meV per atom
# * D(E_F): 0.803 states/eV per atom
# * electronic total energy: -81.5 eV per cell
# * E above lowest polymorph: 163 meV/atom
data_NdErTe2
_cell_length_a 7.643
_cell_length_b 7.643
_cell_length_c 7.643
_cell_angle_alpha 90.00
_cell_angle_beta 90.00
_cell_angle_gamma 90.00
_symmetry_space_group_name_H-M 'F m -3 m'
_symmetry_Int_Tables_number 225
_symmetry_space_group_name_Hall '-F 4 2 3'
loop_
_atom_site_label
_atom_site_fract_x
_atom_site_fract_y
_atom_site_fract_z
_atom_site_occupancy
Nd1 0.000 0.000 0.000 1
Er1 0.000 0.000 0.500 1
Te1 0.250 0.250 0.250 1


(4)
# NdEr4Te5, optimized geometry, DFT PBE-GGA
# * ΔE_f (raw): -1257 meV per atom
# * D(E_F): 0.529 states/eV per atom
# * electronic total energy: -102.6 eV per cell
# * E above lowest polymorph: 0 meV/atom
data_NdEr4Te5
_cell_length_a 14.533
_cell_length_b 4.342
_cell_length_c 10.651
_cell_angle_alpha 90.00
_cell_angle_beta 119.65
_cell_angle_gamma 90.00
_symmetry_space_group_name_H-M 'C 1 2/m 1'
_symmetry_Int_Tables_number 12
_symmetry_space_group_name_Hall '-C 2y'
loop_
_atom_site_label
_atom_site_fract_x
_atom_site_fract_y
_atom_site_fract_z
_atom_site_occupancy
Nd1 0.000 0.000 0.000 1
Er1 0.097 0.500 0.391 1
Er2 0.207 0.000 0.800 1
Te1 0.000 0.000 0.500 1
Te2 0.107 0.500 0.895 1
Te3 0.205 0.000 0.311 1


(5)
# Nd2Er3Te6, optimized geometry, DFT PBE-GGA
# * ΔE_f (raw): -1400 meV per atom
# * D(E_F): 0.465 states/eV per atom
# * electronic total energy: -115.0 eV per cell
data_Nd2Er3Te6
_cell_length_a 7.586
_cell_length_b 13.062
_cell_length_c 7.598
_cell_angle_alpha 90.00
_cell_angle_beta 109.53
_cell_angle_gamma 90.00
_symmetry_space_group_name_H-M 'C 1 2/m 1'
_symmetry_Int_Tables_number 12
_symmetry_space_group_name_Hall '-C 2y'
loop_
_atom_site_label
_atom_site_fract_x
_atom_site_fract_y
_atom_site_fract_z
_atom_site_occupancy
Nd1 0.000 0.164 0.000 1
Er1 0.000 0.000 0.500 1
Er2 0.000 0.328 0.500 1
Te1 0.234 0.500 0.741 1
Te2 0.244 0.340 0.254 1


(6)
# NdEr3Te4, optimized geometry, DFT PBE-GGA
# * ΔE_f (raw): -1260 meV per atom
# * D(E_F): 0.587 states/eV per atom
# * electronic total energy: -82.2 eV per cell
data_NdEr3Te4
_cell_length_a 8.888
_cell_length_b 12.350
_cell_length_c 4.286
_cell_angle_alpha 90.00
_cell_angle_beta 90.00
_cell_angle_gamma 90.00
_symmetry_space_group_name_H-M 'C m m m'
_symmetry_Int_Tables_number 65
_symmetry_space_group_name_Hall '-C 2 2'
loop_
_atom_site_label
_atom_site_fract_x
_atom_site_fract_y
_atom_site_fract_z
_atom_site_occupancy
Nd1 0.000 0.000 0.000 1
Er1 0.000 0.500 0.000 1
Er2 0.250 0.250 0.500 1
Te1 0.000 0.255 0.000 1
Te2 0.240 0.500 0.500 1


(7)
# NdErTe2, optimized geometry, DFT PBE-GGA
# * ΔE_f (raw): -1324 meV per atom
# * D(E_F): 0.462 states/eV per atom
# * electronic total energy: -41.8 eV per cell
# * E above lowest polymorph: 31 meV/atom
data_NdErTe2
_cell_length_a 4.348
_cell_length_b 7.562
_cell_length_c 7.839
_cell_angle_alpha 78.76
_cell_angle_beta 89.62
_cell_angle_gamma 73.51
_symmetry_space_group_name_H-M 'P -1'
_symmetry_Int_Tables_number 2
_symmetry_space_group_name_Hall '-P 1'
loop_
_atom_site_label
_atom_site_fract_x
_atom_site_fract_y
_atom_site_fract_z
_atom_site_occupancy
Nd1 0.134 0.231 0.385 1
Er1 0.383 0.733 0.138 1
Te1 0.000 0.500 0.000 1
Te2 0.248 0.004 0.778 1
Te3 0.500 0.500 0.500 1


(8)
# NdErTe, optimized geometry, DFT PBE-GGA
# * ΔE_f (raw): -773 meV per atom
# * D(E_F): 0.888 states/eV per atom
# * electronic total energy: -29.6 eV per cell
# * E above lowest polymorph: 0 meV/atom
data_NdErTe
_cell_length_a 3.918
_cell_length_b 3.918
_cell_length_c 11.743
_cell_angle_alpha 90.00
_cell_angle_beta 90.00
_cell_angle_gamma 90.00
_symmetry_space_group_name_H-M 'I 4 m m'
_symmetry_Int_Tables_number 107
_symmetry_space_group_name_Hall 'I 4 -2'
loop_
_atom_site_label
_atom_site_fract_x
_atom_site_fract_y
_atom_site_fract_z
_atom_site_occupancy
Nd1 0.000 0.000 0.000 1
Er1 0.000 0.000 0.310 1
Te1 0.000 0.000 0.671 1


(9)
# NdEr5Te4, optimized geometry, DFT PBE-GGA
# * ΔE_f (raw): -866 meV per atom
# * D(E_F): 0.854 states/eV per atom
# * electronic total energy: -97.6 eV per cell
data_NdEr5Te4
_cell_length_a 18.282
_cell_length_b 4.163
_cell_length_c 8.535
_cell_angle_alpha 90.00
_cell_angle_beta 103.59
_cell_angle_gamma 90.00
_symmetry_space_group_name_H-M 'C 1 2/m 1'
_symmetry_Int_Tables_number 12
_symmetry_space_group_name_Hall '-C 2y'
loop_
_atom_site_label
_atom_site_fract_x
_atom_site_fract_y
_atom_site_fract_z
_atom_site_occupancy
Nd1 0.000 0.000 0.000 1
Er1 0.000 0.000 0.500 1
Er2 0.159 0.500 0.782 1
Er3 0.193 0.500 0.356 1
Te1 0.017 0.500 0.268 1
Te2 0.173 0.000 0.065 1


(10)
# Nd5Er3Te8, optimized geometry, DFT PBE-GGA
# * ΔE_f (raw): -1342 meV per atom
# * D(E_F): 0.710 states/eV per atom
# * electronic total energy: -252.4 eV per cell
data_Nd5Er3Te8
_cell_length_a 8.7818
_cell_length_b 8.7818
_cell_length_c 22.1461
_cell_angle_alpha 90.00
_cell_angle_beta 90.00
_cell_angle_gamma 120.00
_symmetry_space_group_name_H-M 'R -3 m'
_symmetry_Int_Tables_number 166
_symmetry_space_group_name_Hall '-R 3 2"'
loop_
_atom_site_label
_atom_site_fract_x
_atom_site_fract_y
_atom_site_fract_z
_atom_site_occupancy
Nd1 0.0000 0.0000 0.0000 1
Nd2 0.0000 0.0000 0.5000 1
Nd3 0.0000 0.5000 0.0000 1
Er1 0.0000 0.5000 0.5000 1
Te1 0.0000 0.0000 0.2447 1
Te2 0.0072 0.5036 0.7536 1


(11)
# Nd2Er2Te7, optimized geometry, DFT PBE-GGA
# * ΔE_f (raw): -1221 meV per atom
# * D(E_F): 0.466 states/eV per atom
# * electronic total energy: -108.2 eV per cell
data_Nd2Er2Te7
_cell_length_a 4.307
_cell_length_b 15.982
_cell_length_c 9.894
_cell_angle_alpha 90.00
_cell_angle_beta 90.00
_cell_angle_gamma 90.00
_symmetry_space_group_name_H-M 'I m m 2'
_symmetry_Int_Tables_number 44
_symmetry_space_group_name_Hall 'I 2 -2'
loop_
_atom_site_label
_atom_site_fract_x
_atom_site_fract_y
_atom_site_fract_z
_atom_site_occupancy
Nd1 0.000 0.242 0.000 1
Er1 0.000 0.000 0.772 1
Er2 0.000 0.500 0.828 1
Te1 0.000 0.000 0.095 1
Te2 0.000 0.107 0.497 1
Te3 0.000 0.327 0.702 1
Te4 0.000 0.361 0.309 1


(12)
# Nd3Er4Te8, optimized geometry, DFT PBE-GGA
# * ΔE_f (raw): -1365 meV per atom
# * D(E_F): 0.454 states/eV per atom
# * electronic total energy: -156.3 eV per cell
data_Nd3Er4Te8
_cell_length_a 12.415
_cell_length_b 12.426
_cell_length_c 8.770
_cell_angle_alpha 90.00
_cell_angle_beta 134.85
_cell_angle_gamma 90.00
_symmetry_space_group_name_H-M 'C 1 2/m 1'
_symmetry_Int_Tables_number 12
_symmetry_space_group_name_Hall '-C 2y'
loop_
_atom_site_label
_atom_site_fract_x
_atom_site_fract_y
_atom_site_fract_z
_atom_site_occupancy
Nd1 0.000 0.000 0.000 1
Nd2 0.250 0.250 0.000 1
Er1 0.000 0.500 0.000 1
Er2 0.000 0.500 0.500 1
Er3 0.250 0.250 0.500 1
Te1 0.000 0.248 0.500 1
Te2 0.000 0.255 0.000 1
Te3 0.246 0.500 0.003 1
Te4 0.247 0.500 0.491 1